No. 1
## Rb3Ac3UO8 (GGA-PBE)

Data for a geometry-optimized Rb3Ac3UO8 structure.

```
15
Lattice="7.636 0.000 0.000 -3.818 6.613 -0.024 0.000 -4.384 6.784" Properties=species:S:1:pos:R:3 pbc="T T T"
O 3.818 2.507 2.292
O 1.655 -1.241 2.305
Ac -1.909 1.114 3.380
Rb 0.000 0.000 0.000
O 3.818 0.016 4.567
O 2.163 3.470 4.455
Ac 1.909 1.114 3.380
Rb 1.909 3.307 -0.012
O 5.981 -1.241 2.305
Ac 3.818 -2.192 3.392
O 0.000 2.212 2.193
O 0.000 -0.278 4.469
U 0.000 -2.192 3.392
O -2.163 3.470 4.455
Rb -1.909 3.307 -0.012
```

Values from the calculation:
Crystal system: trigonal
Uncorrected formation energy in eV/atom: -2.681
DFT total energy in eV per atom: -7.093
Symmetry: R-3m, No. 166
ρ in kg/m³: 6333



No. 2
## RbAc2UO8 (GGA-PBE)

Data for a geometry-optimized RbAc2UO8 structure.

```
12
Lattice="4.167 -0.234 -0.002 -0.141 5.613 -0.005 0.004 0.008 9.035" Properties=species:S:1:pos:R:3 pbc="T T T"
O 1.846 1.144 -0.002
O 0.031 4.302 7.353
O 3.998 1.086 1.675
O 0.029 4.296 1.674
Rb 0.002 0.004 4.517
O 1.915 3.393 4.514
O 2.183 4.244 9.030
O 2.114 1.995 4.515
Ac 2.013 2.692 1.896
Ac 2.016 2.696 7.132
O 4.000 1.092 7.354
U 0.000 0.000 0.000
```

Values from the calculation:
Crystal system: monoclinic
Uncorrected formation energy in eV/atom: -2.656
DFT total energy in eV per atom: -7.667
Symmetry: P2/m, No. 10
ρ in kg/m³: 7125



Look up the DFT total energy of the first one. -7.093 eV per atom